Entry from the Alexandria database: AgBi2Ru after structural relaxation (PBE).

abc: 6.742 6.742 10.851
angles: 90.00 90.00 90.00
Space group I-42d (No. 122)
Asymmetric unit:
Ag 0.000 0.000 0.000 x4
Bi 0.219 0.250 0.625 x8
Ru 0.000 0.000 0.500 x4

Calculated values
total magnetization = 0.0 Bohr magnetons per cell
energy above the most stable polymorph in this dataset = 202 meV/atom
energy of formation = 0.586 eV/atom
ρ = 8.44 g cm⁻³

Entry from the Alexandria database: AgBiRu2 after structural relaxation (PBE).

abc: 4.063 4.063 19.502
angles: 90.00 90.00 90.00
Space group I-42d (No. 122)
Asymmetric unit:
Ag 0.000 0.000 0.000 x4
Bi 0.000 0.000 0.500 x4
Ru 0.168 0.250 0.125 x8

Calculated values
total magnetization = 4.5 Bohr magnetons per cell
energy of formation = 0.774 eV/atom
ρ = 10.71 g cm⁻³

Entry from the Alexandria database: TaAgBi2Ru after structural relaxation (PBE).

abc: 5.395 5.395 5.199
angles: 90.00 90.00 90.00
Space group P4/mmm (No. 123)
Asymmetric unit:
Ta 0.000 0.000 0.000 x1
Ag 0.000 0.000 0.500 x1
Bi 0.000 0.500 0.000 x2
Ru 0.500 0.500 0.500 x1

Calculated values
total magnetization = 2.4 Bohr magnetons per cell
energy of formation = 1.535 eV/atom
ρ = 8.86 g cm⁻³

Entry from the Alexandria database: TcAg2BiRu after structural relaxation (PBE).

abc: 5.092 5.092 5.024
angles: 90.00 90.00 90.00
Space group P4/mmm (No. 123)
Asymmetric unit:
Tc 0.000 0.000 0.000 x1
Ag 0.000 0.500 0.500 x2
Bi 0.500 0.500 0.000 x1
Ru 0.500 0.500 0.500 x1

Calculated values
total magnetization = 4.9 Bohr magnetons per cell
energy of formation = 1.503 eV/atom
ρ = 7.95 g cm⁻³

Entry from the Alexandria database: Ag2Bi2S after structural relaxation (PBE).

abc: 3.860 3.860 16.247
angles: 90.00 90.00 90.00
Space group I4/mmm (No. 139)
Asymmetric unit:
Ag 0.000 0.500 0.250 x4
Bi 0.000 0.000 0.100 x4
S 0.000 0.000 0.500 x2

Calculated values
total magnetization = 0.0 Bohr magnetons per cell
energy above the most stable polymorph in this dataset = 0 meV/atom
raw formation energy = 0.179 eV per atom
ρ = 9.14 g cm⁻³

Entry from the Alexandria database: AgBi3S after structural relaxation (PBE).

abc: 5.404 5.404 5.404
angles: 90.00 90.00 90.00
Space group Pm-3m (No. 221)
Asymmetric unit:
Ag 0.000 0.000 0.000 x1
Bi 0.000 0.500 0.500 x3
S 0.500 0.500 0.500 x1

Calculated values
total magnetization = 0.0 Bohr magnetons per cell
energy above the most stable polymorph in this dataset = 0 meV/atom
raw formation energy = 0.535 eV per atom
ρ = 8.07 g cm⁻³

Entry from the Alexandria database: AgBi2S after structural relaxation (PBE).

abc: 5.980 5.980 14.763
angles: 90.00 90.00 90.00
Space group I-42d (No. 122)
Asymmetric unit:
Ag 0.000 0.000 0.000 x4
Bi 0.247 0.250 0.625 x8
S 0.000 0.000 0.500 x4

Calculated values
total magnetization = 0.0 Bohr magnetons per cell
raw formation energy = 0.247 eV per atom
ρ = 7.02 g cm⁻³

Entry from the Alexandria database: AgBiS2 after structural relaxation (PBE).

abc: 4.6403 4.6403 6.1541
angles: 90.00 90.00 120.00
Space group P3m1 (No. 156)
Asymmetric unit:
Ag 0.0000 0.0000 0.0000 x1
Bi 0.6667 0.3333 0.5091 x1
S 0.0000 0.0000 0.4243 x1
S 0.6667 0.3333 0.9205 x1

Calculated values
total magnetization = 0.0 Bohr magnetons per cell
raw formation energy = -0.136 eV per atom
ρ = 5.51 g cm⁻³

Question: Number 2 is which compound?
Answer: AgBiRu2